## KTiTc2 (PBE)

Data for an optimized crystal structure of KTiTc2.

Lattice parameters (Å, degrees): 4.6196 4.6196 4.6196 60.00 60.00 60.00
Closest atoms and distances in Å follow each position.
Atoms (fractional coordinates):
K 0.0000 0.0000 0.0000  8 Tc 2.83
Ti 0.5000 0.5000 0.5000  8 Tc 2.83
Tc 0.2500 0.2500 0.2500  4 K 2.83, 4 Ti 2.83
Tc 0.7500 0.7500 0.7500  4 K 2.83, 4 Ti 2.83

Calculated total energy, eV per atom: -6.138
DFT formation energy, eV per atom: 1.293
Mass density, kg/m3: 6740
Offset from the most stable computed form, meV/atom: 0.0
Space-group type: Fm-3m, No. 225

## TlCd5In4 (PBE)

Data for an optimized crystal structure of TlCd5In4.

Lattice parameters (Å, degrees): 3.4967 3.4967 20.9954 90.00 90.00 90.00
Closest atoms and distances in Å follow each position.
Atoms (fractional coordinates):
Tl 0.0000 0.0000 0.0000  8 Cd 3.32, 4 Tl 3.50
Cd 0.5000 0.5000 0.1057  4 In 3.22, 4 Tl 3.32, 4 Cd 3.50
Cd 0.5000 0.5000 0.3030  8 In 3.23, 4 Cd 3.50
Cd 0.5000 0.5000 0.5000  8 In 3.22, 4 Cd 3.50
Cd 0.5000 0.5000 0.6970  8 In 3.23, 4 Cd 3.50
Cd 0.5000 0.5000 0.8943  4 In 3.22, 4 Tl 3.32, 4 Cd 3.50
In 0.0000 0.0000 0.2043  8 Cd 3.22-3.23, 4 In 3.50
In 0.0000 0.0000 0.4020  8 Cd 3.22-3.23, 4 In 3.50
In 0.0000 0.0000 0.5980  8 Cd 3.22-3.23, 4 In 3.50
In 0.0000 0.0000 0.7957  8 Cd 3.22-3.23, 4 In 3.50

Calculated total energy, eV per atom: -1.743
DFT formation energy, eV per atom: 0.047
Mass density, kg/m3: 7929
Space-group type: P4/mmm, No. 123

## Pa2MnP (PBE)

Data for an optimized crystal structure of Pa2MnP.

Lattice parameters (Å, degrees): 8.6876 8.6876 8.6876 22.89 22.89 22.89
Closest atoms and distances in Å follow each position.
Atoms (fractional coordinates):
Pa 0.0920 0.0920 0.0920  1 Mn 2.33
Pa 0.9080 0.9080 0.9080  1 Mn 2.33
Mn 0.0000 0.0000 0.0000  2 Pa 2.33
P 0.5000 0.5000 0.5000  6 Pa 2.75

Calculated total energy, eV per atom: -8.417
DFT formation energy, eV per atom: -0.024
Mass density, kg/m3: 10454
Space-group type: R-3m, No. 166

## ZrBe9Nb2 (PBE)

Data for an optimized crystal structure of ZrBe9Nb2.

Lattice parameters (Å, degrees): 4.6226 4.6226 14.2922 90.00 90.00 120.00
Closest atoms and distances in Å follow each position.
Atoms (fractional coordinates):
Zr 0.3333 0.6667 0.2500  18 Be 2.67-2.91
Zr 0.6667 0.3333 0.7500  18 Be 2.67-2.91
Be 0.0000 0.0000 0.0000  6 Be 2.25
Be 0.0000 0.0000 0.2500  6 Be 2.23
Be 0.0000 0.0000 0.5000  6 Be 2.25
Be 0.0000 0.0000 0.7500  6 Be 2.23
Be 0.1689 0.3378 0.6259  7 Be 2.21-2.34
Be 0.1689 0.3378 0.8741  7 Be 2.21-2.34
Be 0.1689 0.8311 0.6259  7 Be 2.21-2.34
Be 0.1689 0.8311 0.8741  7 Be 2.21-2.34
Be 0.3333 0.6667 0.7500  6 Be 2.21
Be 0.3378 0.1689 0.1259  7 Be 2.21-2.34
Be 0.3378 0.1689 0.3741  7 Be 2.21-2.34
Be 0.6622 0.8311 0.6259  7 Be 2.21-2.34
Be 0.6622 0.8311 0.8741  7 Be 2.21-2.34
Be 0.6667 0.3333 0.2500  6 Be 2.21
Be 0.8311 0.1689 0.1259  7 Be 2.21-2.34
Be 0.8311 0.1689 0.3741  7 Be 2.21-2.34
Be 0.8311 0.6622 0.1259  7 Be 2.21-2.34
Be 0.8311 0.6622 0.3741  7 Be 2.21-2.34
Nb 0.3333 0.6667 0.0371  12 Be 2.64-2.72, 3 Nb 2.87
Nb 0.3333 0.6667 0.4629  12 Be 2.64-2.72, 3 Nb 2.87
Nb 0.6667 0.3333 0.5371  12 Be 2.64-2.72, 3 Nb 2.87
Nb 0.6667 0.3333 0.9629  12 Be 2.64-2.72, 3 Nb 2.87

Calculated total energy, eV per atom: -5.431
DFT formation energy, eV per atom: -0.246
Mass density, kg/m3: 4497
Offset from the most stable computed form, meV/atom: 6.2
Space-group type: P6_3/mmc, No. 194

## Ce2Al2Si4Ni (PBE)

Data for an optimized crystal structure of Ce2Al2Si4Ni.

Lattice parameters (Å, degrees): 6.0453 6.0453 6.0453 119.50 119.50 90.86
Closest atoms and distances in Å follow each position.
Atoms (fractional coordinates):
Ce 0.2500 0.7500 0.5000  8 Si 3.03, 4 Al 3.06
Ce 0.7500 0.2500 0.5000  8 Si 3.03, 4 Al 3.06
Al 0.2128 0.2128 0.0000  1 Ni 2.44, 4 Si 2.62
Al 0.7872 0.7872 0.0000  1 Ni 2.44, 4 Si 2.62
Si 0.2203 0.2203 0.4406  1 Ni 2.41, 2 Al 2.62, 2 Si 2.68
Si 0.2203 0.7797 0.0000  1 Ni 2.41, 2 Al 2.62, 2 Si 2.68
Si 0.7797 0.2203 0.0000  1 Ni 2.41, 2 Al 2.62, 2 Si 2.68
Si 0.7797 0.7797 0.5594  1 Ni 2.41, 2 Al 2.62, 2 Si 2.68
Ni 0.5000 0.5000 0.0000  4 Si 2.41, 2 Al 2.44

Calculated total energy, eV per atom: -5.715
Mass density, kg/m3: 5331
Space-group type: I4/mmm, No. 139

## CaPrO3 (PBE)

Data for an optimized crystal structure of CaPrO3.

Lattice parameters (Å, degrees): 6.3233 8.3468 6.1273 90.00 90.00 90.00
Closest atoms and distances in Å follow each position.
Atoms (fractional coordinates):
Ca 0.0522 0.2500 0.0196  6 O 2.36-2.57
Ca 0.4478 0.7500 0.5196  6 O 2.36-2.57
Ca 0.5522 0.2500 0.4804  6 O 2.36-2.57
Ca 0.9478 0.7500 0.9804  6 O 2.36-2.57
Pr 0.0000 0.0000 0.5000  6 O 2.39-2.43
Pr 0.0000 0.5000 0.5000  6 O 2.39-2.43
Pr 0.5000 0.0000 0.0000  6 O 2.39-2.43
Pr 0.5000 0.5000 0.0000  6 O 2.39-2.43
O 0.1061 0.7500 0.3291  2 Ca 2.36-2.46, 2 Pr 2.43
O 0.2091 0.6015 0.7934  2 Ca 2.36-2.57, 2 Pr 2.39, 1 O 2.48
O 0.2091 0.8985 0.7934  2 Ca 2.36-2.57, 2 Pr 2.39, 1 O 2.48
O 0.2909 0.1015 0.2934  2 Ca 2.36-2.57, 2 Pr 2.39, 1 O 2.48
O 0.2909 0.3985 0.2934  2 Ca 2.36-2.57, 2 Pr 2.39, 1 O 2.48
O 0.3939 0.2500 0.8291  2 Ca 2.36-2.46, 2 Pr 2.43
O 0.6061 0.7500 0.1709  2 Ca 2.36-2.46, 2 Pr 2.43
O 0.7091 0.6015 0.7066  2 Ca 2.36-2.57, 2 Pr 2.39, 1 O 2.48
O 0.7091 0.8985 0.7066  2 Ca 2.36-2.57, 2 Pr 2.39, 1 O 2.48
O 0.7909 0.1015 0.2066  2 Ca 2.36-2.57, 2 Pr 2.39, 1 O 2.48
O 0.7909 0.3985 0.2066  2 Ca 2.36-2.57, 2 Pr 2.39, 1 O 2.48
O 0.8939 0.2500 0.6709  2 Ca 2.36-2.46, 2 Pr 2.43

Calculated total energy, eV per atom: -6.931
Mass density, kg/m3: 4703
Space-group type: Pnma, No. 62

## CdTe2F (PBE)

Data for an optimized crystal structure of CdTe2F.

Lattice parameters (Å, degrees): 4.3915 6.0244 8.3593 68.89 81.65 89.21
Closest atoms and distances in Å follow each position.
Atoms (fractional coordinates):
Cd 0.1947 0.4096 0.1974  3 F 2.27-2.35
Cd 0.8053 0.5904 0.8026  3 F 2.27-2.35
Te 0.2023 0.9359 0.1333  2 Te 2.93-3.09, 2 Cd 3.02-3.09
Te 0.4055 0.2158 0.5301  1 Cd 2.89, 1 Te 2.91
Te 0.5945 0.7842 0.4699  1 Cd 2.89, 1 Te 2.91
Te 0.7977 0.0641 0.8667  2 Te 2.93-3.09, 2 Cd 3.02-3.09
F 0.2729 0.5527 0.8923  3 Cd 2.27-2.35
F 0.7271 0.4473 0.1077  3 Cd 2.27-2.35

Calculated total energy, eV per atom: -3.102
Mass density, kg/m3: 6295
Offset from the most stable computed form, meV/atom: 20.6
Space-group type: P-1, No. 2

## TbY (PBE)

Data for an optimized crystal structure of TbY.

Lattice parameters (Å, degrees): 3.4893 3.4893 5.9243 90.00 90.00 116.30
Closest atoms and distances in Å follow each position.
Atoms (fractional coordinates):
Tb 0.0000 0.0000 0.0000  4 Y 3.49, 6 Tb 3.49-3.68
Y 0.5000 0.5000 0.5000  4 Tb 3.49, 6 Y 3.49-3.68

Calculated total energy, eV per atom: -5.425
DFT formation energy, eV per atom: 0.122
Mass density, kg/m3: 6364
Offset from the most stable computed form, meV/atom: 115.9
Space-group type: Cmmm, No. 65